1.
{
  "formula": "MoOsPb2",
  "functional": "PBE-GGA",
  "state": "optimized geometry",
  "de_polymorph_mev_per_atom": 1018,
  "ef_ev_per_atom": 1.34,
  "dos_ef_per_ev_cell": 8.0,
  "cell": [[-3.694, -6.734, 1.705], [6.297, -2.430, 4.043], [0.234, -3.396, 5.249]],
  "species": ["Pb", "Pb", "Pb", "Pb", "Mo", "Mo", "Os", "Os"],
  "frac_coords": [[0.648, 0.125, 0.250], [0.102, 0.625, 0.250], [0.375, 0.352, 0.750], [0.875, 0.898, 0.750], [0.500, 0.500, 0.000], [0.250, 0.750, 0.500], [0.000, 0.000, 0.000], [0.750, 0.250, 0.500]]
}

2.
{
  "formula": "MoOs2Pb",
  "functional": "PBE-GGA",
  "state": "optimized geometry",
  "ef_ev_per_atom": 0.68,
  "dos_ef_per_ev_cell": 4.8,
  "cell": [[2.944, 0.000, 0.000], [0.000, 2.944, 0.000], [0.000, 0.000, 7.860]],
  "species": ["Mo", "Os", "Os", "Pb"],
  "frac_coords": [[0.500, 0.500, 0.779], [0.000, 0.000, 0.003], [0.500, 0.500, 0.223], [0.000, 0.000, 0.494]]
}

3.
{
  "formula": "MoOsPb2",
  "functional": "PBE-GGA",
  "state": "optimized geometry",
  "de_polymorph_mev_per_atom": 784,
  "ef_ev_per_atom": 1.11,
  "dos_ef_per_ev_cell": 4.6,
  "cell": [[3.161, -0.001, 0.000], [-1.447, 2.810, 0.000], [0.000, 0.000, 9.114]],
  "species": ["Mo", "Os", "Pb", "Pb"],
  "frac_coords": [[0.500, 0.500, 0.250], [0.500, 0.500, 0.750], [0.000, 0.000, 0.994], [0.000, 0.000, 0.506]]
}

4.
{
  "formula": "Mo2OsPb",
  "functional": "PBE-GGA",
  "state": "optimized geometry",
  "ef_ev_per_atom": 0.73,
  "dos_ef_per_ev_cell": 3.3,
  "cell": [[3.273, 0.000, 0.000], [0.000, 4.697, 0.000], [0.000, 0.000, 4.486]],
  "species": ["Mo", "Mo", "Os", "Pb"],
  "frac_coords": [[0.000, 0.000, 0.000], [0.500, 0.500, 0.000], [0.500, 0.000, 0.500], [0.000, 0.500, 0.500]]
}

5.
{
  "formula": "Mo2OsPb",
  "functional": "PBE-GGA",
  "state": "optimized geometry",
  "ef_ev_per_atom": 0.61,
  "dos_ef_per_ev_cell": 3.9,
  "cell": [[5.001, 0.006, 0.014], [4.064, 2.914, 0.014], [1.093, 0.352, 4.849]],
  "species": ["Mo", "Mo", "Os", "Pb"],
  "frac_coords": [[0.016, 0.016, 0.965], [0.751, 0.751, 0.737], [0.484, 0.484, 0.553], [0.249, 0.249, 0.244]]
}

6.
{
  "formula": "Mo2OsPb",
  "functional": "PBE-GGA",
  "state": "optimized geometry",
  "ef_ev_per_atom": 0.63,
  "dos_ef_per_ev_cell": 3.3,
  "cell": [[5.256, 0.014, 0.000], [2.347, 4.703, 0.000], [-3.801, -2.358, 2.759]],
  "species": ["Mo", "Mo", "Os", "Pb"],
  "frac_coords": [[0.000, 0.000, 0.000], [0.500, 0.500, 0.000], [0.250, 0.750, 0.500], [0.750, 0.250, 0.500]]
}

7.
{
  "formula": "MoOsPb2",
  "functional": "PBE-GGA",
  "state": "optimized geometry",
  "de_polymorph_mev_per_atom": 452,
  "ef_ev_per_atom": 0.78,
  "dos_ef_per_ev_cell": 3.8,
  "cell": [[6.512, 0.047, -0.019], [3.838, 5.261, 0.019], [-4.656, -3.666, 2.700]],
  "species": ["Mo", "Os", "Pb", "Pb"],
  "frac_coords": [[0.446, 0.446, 0.000], [0.295, 0.795, 0.500], [0.025, 0.025, 0.000], [0.733, 0.233, 0.500]]
}

8.
{
  "formula": "MoOsPb",
  "functional": "PBE-GGA",
  "state": "optimized geometry",
  "ef_ev_per_atom": 0.84,
  "dos_ef_per_ev_cell": 2.2,
  "cell": [[-0.747, 3.679, 2.620], [-0.540, -4.199, 1.743], [2.830, -0.019, 0.833]],
  "species": ["Mo", "Os", "Pb"],
  "frac_coords": [[0.000, 0.000, 0.000], [0.667, 0.333, 0.500], [0.333, 0.667, 0.500]]
}

9.
{
  "formula": "Mo2OsPb",
  "functional": "PBE-GGA",
  "state": "optimized geometry",
  "ef_ev_per_atom": 0.73,
  "dos_ef_per_ev_cell": 4.0,
  "cell": [[-1.790, -3.368, 3.321], [3.097, -1.875, -3.530], [2.336, 0.511, 1.777]],
  "species": ["Mo", "Mo", "Os", "Pb"],
  "frac_coords": [[0.000, 0.000, 0.000], [0.500, 0.500, 0.000], [0.500, 0.000, 0.500], [0.000, 0.500, 0.500]]
}

10.
{
  "formula": "MoOs2Pb",
  "functional": "PBE-GGA",
  "state": "optimized geometry",
  "ef_ev_per_atom": 0.90,
  "dos_ef_per_ev_cell": 3.7,
  "cell": [[-3.837, -1.771, -3.362], [-3.713, -3.363, 2.017], [2.257, 4.897, 0.301]],
  "species": ["Mo", "Os", "Os", "Pb"],
  "frac_coords": [[0.750, 0.250, 0.500], [0.993, 0.993, 0.000], [0.256, 0.756, 0.500], [0.500, 0.500, 0.000]]
}

11.
{
  "formula": "Mo2OsPb",
  "functional": "PBE-GGA",
  "state": "optimized geometry",
  "ef_ev_per_atom": 0.82,
  "dos_ef_per_ev_cell": 6.3,
  "cell": [[4.771, 0.000, 0.000], [0.000, 4.771, 0.000], [0.000, 0.000, 3.032]],
  "species": ["Mo", "Mo", "Os", "Pb"],
  "frac_coords": [[0.000, 0.000, 0.000], [0.500, 0.500, 0.000], [0.500, 0.000, 0.500], [0.000, 0.500, 0.500]]
}

12.
{
  "formula": "MoOs2Pb",
  "functional": "PBE-GGA",
  "state": "optimized geometry",
  "ef_ev_per_atom": 0.80,
  "dos_ef_per_ev_cell": 5.1,
  "cell": [[5.080, -0.002, 0.000], [1.983, 4.677, 0.000], [-3.532, -2.338, 2.805]],
  "species": ["Mo", "Os", "Os", "Pb"],
  "frac_coords": [[0.750, 0.250, 0.500], [0.000, 0.000, 0.000], [0.250, 0.750, 0.500], [0.500, 0.500, 0.000]]
}

Number 1: E_tot -48.20 eV per cell, spin magnetization 0.395 μB/atom. Number 2: E_tot -34.27 eV per cell, spin magnetization 0.000 μB/atom. Number 3: E_tot -25.04 eV per cell, spin magnetization 0.000 μB/atom. Number 4: E_tot -33.68 eV per cell, spin magnetization 0.000 μB/atom. Number 5: E_tot -34.15 eV per cell, spin magnetization 0.000 μB/atom. Number 6: E_tot -34.06 eV per cell, spin magnetization 0.000 μB/atom. Number 7: E_tot -26.36 eV per cell, spin magnetization 0.000 μB/atom. Number 8: E_tot -23.24 eV per cell, spin magnetization 0.000 μB/atom. Number 9: E_tot -33.66 eV per cell, spin magnetization 0.000 μB/atom. Number 10: E_tot -33.39 eV per cell, spin magnetization 0.000 μB/atom. Number 11: E_tot -33.30 eV per cell, spin magnetization 0.001 μB/atom. Number 12: E_tot -33.78 eV per cell, spin magnetization 0.000 μB/atom.